CoPt, optimized geometry, DFT PBEsol; M_tot = 4.20 μB per cell; energy of formation from the pure elements = 0.130 eV per atom; space group = R-3m (166)
1.0
2.0065 1.1585 3.9138
-2.0065 1.1585 3.9138
0.0000 -2.3169 3.9138
Co Pt
2 2
direct
0.1703 0.1703 0.1703
0.8297 0.8297 0.8297
0.3899 0.3899 0.3899
0.6101 0.6101 0.6101



CoPt2, optimized geometry, DFT PBEsol; M_tot = 5.42 μB per cell; energy of formation from the pure elements = 0.007 eV per atom; space group = Cmcm (63)
1.0
1.3497 -6.9274 0.0000
1.3497 6.9274 0.0000
0.0000 0.0000 4.4181
Co Pt
2 4
direct
0.2213 0.7787 0.7500
0.7787 0.2213 0.2500
0.1232 0.8768 0.2500
0.4410 0.5590 0.2500
0.5590 0.4410 0.7500
0.8768 0.1232 0.7500



Co5Pt, optimized geometry, DFT PBEsol; M_tot = 8.61 μB per cell; energy of formation from the pure elements = -0.013 eV per atom; space group = Amm2 (38)
1.0
4.0464 0.0000 0.0000
0.0000 1.2799 6.5270
0.0000 -1.2799 6.5270
Co Pt
5 1
direct
0.0000 0.0000 0.0000
0.0000 0.3196 0.3196
0.0000 0.6602 0.6602
0.5000 0.1103 0.1103
0.5000 0.7662 0.7662
0.5000 0.4379 0.4379



CoPt2, optimized geometry, DFT PBEsol; M_tot = 5.35 μB per cell; energy of formation from the pure elements = -0.004 eV per atom; space group = Cm (8)
1.0
4.9851 -1.3504 0.0000
4.9851 1.3504 0.0000
-1.6650 0.0000 6.1344
Co Pt
2 4
direct
0.0000 0.0000 0.0000
0.6613 0.6613 0.3173
0.0572 0.0572 0.5934
0.3349 0.3349 0.6651
0.3878 0.3878 0.2621
0.7103 0.7103 0.9429



CoPt4, optimized geometry, DFT PBEsol; M_tot = 2.91 μB per cell; energy of formation from the pure elements = -0.029 eV per atom; space group = I4/m (87)
1.0
-3.0412 3.0412 1.9216
3.0412 -3.0412 1.9216
3.0412 3.0412 -1.9216
Co Pt
1 4
direct
0.0000 0.0000 0.0000
0.2030 0.6035 0.8065
0.3965 0.2030 0.5995
0.6035 0.7970 0.4005
0.7970 0.3965 0.1935



CoPt2, optimized geometry, DFT PBEsol; M_tot = 5.06 μB per cell; energy of formation from the pure elements = 0.008 eV per atom; space group = I4_1/amd (141)
1.0
-1.3372 1.3372 11.7567
1.3372 -1.3372 11.7567
1.3372 1.3372 -11.7567
Co Pt
2 4
direct
0.3750 0.6250 0.7500
0.6250 0.3750 0.2500
0.0500 0.8000 0.2500
0.2000 0.9500 0.2500
0.8000 0.0500 0.7500
0.9500 0.2000 0.7500



CoPt3, optimized geometry, DFT PBEsol; M_tot = 2.65 μB per cell; energy of formation from the pure elements = 1.628 eV per atom; space group = Pm-3m (221)
1.0
4.4917 0.0000 0.0000
0.0000 4.4917 0.0000
0.0000 0.0000 4.4917
Co Pt
1 3
direct
0.0000 0.0000 0.0000
0.0000 0.0000 0.5000
0.0000 0.5000 0.0000
0.5000 0.0000 0.0000



CoPt, optimized geometry, DFT PBEsol; M_tot = 2.12 μB per cell; energy of formation from the pure elements = -0.014 eV per atom; space group = R-3m (166)
1.0
1.3305 0.7682 4.2423
-1.3305 0.7682 4.2423
0.0000 -1.5364 4.2423
Co Pt
1 1
direct
0.0000 0.0000 0.0000
0.5000 0.5000 0.5000